VASP calculation (PBE) on an optimized crystal structure of Cu2TcP.

a = 3.650 Å, b = 3.650 Å, c = 7.557 Å
α = 90.00°, β = 90.00°, γ = 90.00°
Space group I-4m2 (No. 119)
Asymmetric unit:
Cu: 0.000 0.000 0.000 (multiplicity 2)
Cu: 0.000 0.500 0.250 (multiplicity 2)
Tc: 0.000 0.000 0.500 (multiplicity 2)
P: 0.000 0.500 0.750 (multiplicity 2)

Output
formation energy: 0.11 eV per atom
magnetic moment: 0.0003 μB per atom
E_tot: -23.5 eV/f.u.
volume: 12.59 Å³ per atom

***

VASP calculation (PBE) on an optimized crystal structure of CuTc2P.

a = 3.715 Å, b = 3.715 Å, c = 7.664 Å
α = 90.00°, β = 90.00°, γ = 90.00°
Space group I-4m2 (No. 119)
Asymmetric unit:
Cu: 0.000 0.000 0.000 (multiplicity 2)
Tc: 0.000 0.000 0.500 (multiplicity 2)
Tc: 0.000 0.500 0.250 (multiplicity 2)
P: 0.000 0.500 0.750 (multiplicity 2)

Output
formation energy: 0.13 eV per atom
magnetic moment: 0.0000 μB per atom
E_tot: -29.7 eV/f.u.
volume: 13.22 Å³ per atom

***

VASP calculation (PBE) on an optimized crystal structure of Cu2TcP.

a = 3.064 Å, b = 3.064 Å, c = 5.471 Å
α = 90.00°, β = 90.00°, γ = 90.00°
Space group P4mm (No. 99)
Asymmetric unit:
Cu: 0.000 0.000 0.000 (multiplicity 1)
Cu: 0.500 0.500 0.215 (multiplicity 1)
Tc: 0.500 0.500 0.699 (multiplicity 1)
P: 0.000 0.000 0.502 (multiplicity 1)

Output
formation energy: -0.08 eV per atom
magnetic moment: 0.0000 μB per atom
E_tot: -24.3 eV/f.u.
volume: 12.84 Å³ per atom

***

VASP calculation (PBE) on an optimized crystal structure of CuTc2P.

a = 5.372 Å, b = 8.018 Å, c = 2.781 Å
α = 90.00°, β = 114.43°, γ = 90.00°
Space group C2/m (No. 12)
Asymmetric unit:
Cu: 0.000 0.000 0.000 (multiplicity 2)
Tc: 0.250 0.250 0.500 (multiplicity 4)
P: 0.000 0.500 0.000 (multiplicity 2)

Output
formation energy: 0.26 eV per atom
magnetic moment: 0.0001 μB per atom
E_tot: -29.2 eV/f.u.
volume: 13.63 Å³ per atom

***

VASP calculation (PBE) on an optimized crystal structure of CuTcP2.

a = 3.549 Å, b = 3.549 Å, c = 8.455 Å
α = 90.00°, β = 90.00°, γ = 90.00°
Space group I-4m2 (No. 119)
Asymmetric unit:
Cu: 0.000 0.000 0.000 (multiplicity 2)
Tc: 0.000 0.500 0.250 (multiplicity 2)
P: 0.000 0.000 0.500 (multiplicity 2)
P: 0.000 0.500 0.750 (multiplicity 2)

Output
formation energy: 0.21 eV per atom
magnetic moment: 0.0000 μB per atom
E_tot: -24.4 eV/f.u.
volume: 13.31 Å³ per atom
excess energy over the best structure of this formula in the dataset: 389 meV/atom

***

VASP calculation (PBE) on an optimized crystal structure of CuTcP2.

a = 3.089 Å, b = 3.726 Å, c = 4.766 Å
α = 90.00°, β = 90.00°, γ = 90.00°
Space group Pmmm (No. 47)
Asymmetric unit:
Cu: 0.000 0.000 0.000 (multiplicity 1)
Tc: 0.500 0.000 0.500 (multiplicity 1)
P: 0.000 0.500 0.500 (multiplicity 1)
P: 0.500 0.500 0.000 (multiplicity 1)

Output
formation energy: 0.29 eV per atom
magnetic moment: 0.0000 μB per atom
E_tot: -24.1 eV/f.u.
volume: 13.72 Å³ per atom
excess energy over the best structure of this formula in the dataset: 462 meV/atom

***

VASP calculation (PBE) on an optimized crystal structure of CuTc2P.

a = 2.920 Å, b = 3.602 Å, c = 5.296 Å
α = 90.00°, β = 101.78°, γ = 90.00°
Space group P2/m (No. 10)
Asymmetric unit:
Cu: 0.000 0.000 0.000 (multiplicity 1)
Tc: 0.359 0.500 0.736 (multiplicity 2)
P: 0.000 0.000 0.500 (multiplicity 1)

Output
formation energy: 0.00 eV per atom
magnetic moment: 0.0000 μB per atom
E_tot: -30.3 eV/f.u.
volume: 13.63 Å³ per atom

***

VASP calculation (PBE) on an optimized crystal structure of CuTcP2.

a = 3.0075 Å, b = 3.0075 Å, c = 21.2068 Å
α = 90.00°, β = 90.00°, γ = 120.00°
Space group R3m (No. 160, hexagonal axes)
Asymmetric unit:
Cu: 0.0000 0.0000 0.0000 (multiplicity 3)
Tc: 0.0000 0.0000 0.2316 (multiplicity 3)
P: 0.0000 0.0000 0.4899 (multiplicity 3)
P: 0.0000 0.0000 0.7401 (multiplicity 3)

Output
formation energy: 0.12 eV per atom
magnetic moment: 0.0000 μB per atom
E_tot: -24.8 eV/f.u.
volume: 13.84 Å³ per atom
excess energy over the best structure of this formula in the dataset: 297 meV/atom

***

VASP calculation (PBE) on an optimized crystal structure of CuTcP2.

a = 3.300 Å, b = 2.998 Å, c = 11.924 Å
α = 90.00°, β = 90.00°, γ = 90.00°
Space group Amm2 (No. 38)
Asymmetric unit:
Cu: 0.000 0.000 0.000 (multiplicity 2)
Tc: 0.500 0.000 0.790 (multiplicity 2)
P: 0.000 0.000 0.196 (multiplicity 2)
P: 0.500 0.000 0.445 (multiplicity 2)

Output
formation energy: -0.18 eV per atom
magnetic moment: 0.0000 μB per atom
E_tot: -26.0 eV/f.u.
volume: 14.74 Å³ per atom
excess energy over the best structure of this formula in the dataset: 0 meV/atom

***

VASP calculation (PBE) on an optimized crystal structure of CuTcP2.

a = 5.385 Å, b = 5.385 Å, c = 10.166 Å
α = 90.00°, β = 90.00°, γ = 90.00°
Space group I-42d (No. 122)
Asymmetric unit:
Cu: 0.000 0.000 0.000 (multiplicity 4)
Tc: 0.000 0.000 0.500 (multiplicity 4)
P: 0.246 0.250 0.625 (multiplicity 8)

Output
formation energy: 0.05 eV per atom
magnetic moment: 0.0000 μB per atom
E_tot: -25.1 eV/f.u.
volume: 18.43 Å³ per atom
excess energy over the best structure of this formula in the dataset: 222 meV/atom

***

VASP calculation (PBE) on an optimized crystal structure of Cu2TcP.

a = 4.762 Å, b = 8.783 Å, c = 2.641 Å
α = 90.00°, β = 108.59°, γ = 90.00°
Space group C2/m (No. 12)
Asymmetric unit:
Cu: 0.250 0.250 0.000 (multiplicity 4)
Tc: 0.000 0.000 0.500 (multiplicity 2)
P: 0.000 0.500 0.500 (multiplicity 2)

Output
formation energy: 0.17 eV per atom
magnetic moment: 0.0000 μB per atom
E_tot: -23.3 eV/f.u.
volume: 13.09 Å³ per atom

***

VASP calculation (PBE) on an optimized crystal structure of CuTc2P.

a = 2.8115 Å, b = 2.8115 Å, c = 23.9070 Å
α = 90.00°, β = 90.00°, γ = 120.00°
Space group R-3m (No. 166, hexagonal axes)
Asymmetric unit:
Cu: 0.0000 0.0000 0.0000 (multiplicity 3)
Tc: 0.0000 0.0000 0.2429 (multiplicity 6)
P: 0.0000 0.0000 0.5000 (multiplicity 3)

Output
formation energy: 0.03 eV per atom
magnetic moment: 0.0000 μB per atom
E_tot: -30.1 eV/f.u.
volume: 13.64 Å³ per atom